No. 1
{"formula": "LiAc4Tl7", "functional": "PBE-GGA", "state": "relaxed", "e_tot_ev_per_atom": -3.16, "density_g_cm3": 9.7, "formation_energy_ev_per_atom": -0.25, "lattice_angstrom": [[-5.082, 0.993, 0.720], [-3.702, -8.264, 4.254], [-1.234, 1.276, 8.505]], "species": ["Li", "Ac", "Ac", "Ac", "Ac", "Tl", "Tl", "Tl", "Tl", "Tl", "Tl", "Tl"], "fractional_positions": [[0.000, 0.000, 0.000], [0.562, 0.256, 0.619], [0.438, 0.744, 0.381], [0.728, 0.748, 0.796], [0.272, 0.252, 0.204], [0.818, 0.993, 0.370], [0.182, 0.007, 0.630], [0.098, 0.679, 0.124], [0.902, 0.321, 0.876], [0.333, 0.527, 0.807], [0.500, 0.000, 0.000], [0.667, 0.473, 0.193]]}

---

No. 2
{"formula": "Sm4NiGe", "functional": "PBE-GGA", "state": "relaxed", "e_tot_ev_per_atom": -5.23, "density_g_cm3": 7.6, "formation_energy_ev_per_atom": -0.35, "lattice_angstrom": [[8.382, 0.000, 4.839], [2.794, 7.903, 4.839], [0.000, 0.000, 9.679]], "species": ["Sm", "Sm", "Sm", "Sm", "Sm", "Sm", "Sm", "Sm", "Sm", "Sm", "Sm", "Sm", "Sm", "Sm", "Sm", "Sm", "Ni", "Ni", "Ni", "Ni", "Ge", "Ge", "Ge", "Ge"], "fractional_positions": [[0.354, 0.354, 0.354], [0.937, 0.354, 0.354], [0.354, 0.937, 0.354], [0.354, 0.354, 0.937], [0.560, 0.560, 0.940], [0.940, 0.940, 0.560], [0.560, 0.940, 0.560], [0.940, 0.560, 0.940], [0.940, 0.560, 0.560], [0.560, 0.940, 0.940], [0.194, 0.194, 0.806], [0.806, 0.806, 0.194], [0.194, 0.806, 0.194], [0.806, 0.194, 0.806], [0.806, 0.194, 0.194], [0.194, 0.806, 0.806], [0.143, 0.143, 0.143], [0.571, 0.143, 0.143], [0.143, 0.571, 0.143], [0.143, 0.143, 0.571], [0.597, 0.597, 0.597], [0.208, 0.597, 0.597], [0.597, 0.208, 0.597], [0.597, 0.597, 0.208]]}

---

No. 3
{"formula": "AlZnPd2Ru", "functional": "PBE-GGA", "state": "relaxed", "e_tot_ev_per_atom": -4.18, "density_g_cm3": 7.4, "formation_energy_ev_per_atom": 0.75, "lattice_angstrom": [[-0.572, 0.563, 4.394], [2.255, -3.908, 0.794], [3.845, 2.262, 0.211]], "species": ["Ru", "Zn", "Al", "Pd", "Pd"], "fractional_positions": [[0.500, 0.500, 0.500], [0.000, 0.500, 0.000], [0.000, 0.000, 0.000], [0.000, 0.000, 0.500], [0.500, 0.000, 0.000]]}

---

What did the third record say?
{"formula": "AlZnPd2Ru", "functional": "PBE-GGA", "state": "relaxed", "e_tot_ev_per_atom": -4.18, "density_g_cm3": 7.4, "formation_energy_ev_per_atom": 0.75, "lattice_angstrom": [[-0.572, 0.563, 4.394], [2.255, -3.908, 0.794], [3.845, 2.262, 0.211]], "species": ["Ru", "Zn", "Al", "Pd", "Pd"], "fractional_positions": [[0.500, 0.500, 0.500], [0.000, 0.500, 0.000], [0.000, 0.000, 0.000], [0.000, 0.000, 0.500], [0.500, 0.000, 0.000]]}

---

What did the first record say?
{"formula": "LiAc4Tl7", "functional": "PBE-GGA", "state": "relaxed", "e_tot_ev_per_atom": -3.16, "density_g_cm3": 9.7, "formation_energy_ev_per_atom": -0.25, "lattice_angstrom": [[-5.082, 0.993, 0.720], [-3.702, -8.264, 4.254], [-1.234, 1.276, 8.505]], "species": ["Li", "Ac", "Ac", "Ac", "Ac", "Tl", "Tl", "Tl", "Tl", "Tl", "Tl", "Tl"], "fractional_positions": [[0.000, 0.000, 0.000], [0.562, 0.256, 0.619], [0.438, 0.744, 0.381], [0.728, 0.748, 0.796], [0.272, 0.252, 0.204], [0.818, 0.993, 0.370], [0.182, 0.007, 0.630], [0.098, 0.679, 0.124], [0.902, 0.321, 0.876], [0.333, 0.527, 0.807], [0.500, 0.000, 0.000], [0.667, 0.473, 0.193]]}